[1]
This record from Alexandria via LeMat-Bulk describes LiGdSn4 after structural relaxation. The functional is PBE.

abc: 6.164 6.164 6.164
angles: 60.00 60.00 60.00
Positions (direct):
Li  0.000  0.000  0.000
Gd  0.750  0.750  0.750
Sn  0.375  0.375  0.375
Sn  0.375  0.375  0.875
Sn  0.375  0.875  0.375
Sn  0.875  0.375  0.375

The formation energy from the elements comes out at -5.20 kcal/mol of atoms. Its density is 6.408 Mg/m³. The total moment is 7.0 μB/cell.

=====

[2]
This record from Alexandria via LeMat-Bulk describes Li2GdSn after structural relaxation. The functional is PBE.

abc: 4.438 4.438 4.792
angles: 90.00 90.00 90.00
Positions (direct):
Li  0.000  0.500  0.000
Li  0.500  0.000  0.000
Gd  0.000  0.000  0.500
Sn  0.500  0.500  0.500

The formation energy from the elements comes out at -7.70 kcal/mol of atoms. Its density is 5.098 Mg/m³. The total moment is 7.8 μB/cell.

=====

> formation energy from the elements of number 1 (LiGdSn4)?

-5.20 kcal/mol of atoms

=====

> Which of these has the lowest total moment?

LiGdSn4